VASP calculation (PBE-GGA) on a relaxed structure of V2AgRu2.

Summary:
* VASP energy: -0.57836 Ry/atom
* calculated volume: 14.937 Å³/atom
* formation energy: 0.06 eV per atom
* distance to the lowest polymorph of the same formula: 31.3 meV/atom

a = 7.2716 Å, b = 7.2716 Å, c = 2.8249 Å
α = 90.00°, β = 90.00°, γ = 90.00°
Positions (direct):
Ru (0.3488, 0.1512, 0.5000)
Ru (0.8488, 0.3488, 0.5000)
Ru (0.6512, 0.8488, 0.5000)
Ru (0.1512, 0.6512, 0.5000)
V (0.3577, 0.8577, 0.0000)
V (0.8577, 0.6423, 0.0000)
V (0.1423, 0.3577, 0.0000)
V (0.6423, 0.1423, 0.0000)
Ag (0.5000, 0.5000, 0.0000)
Ag (0.0000, 0.0000, 0.0000)



VASP calculation (PBE-GGA) on a relaxed structure of HfZrNpRh.

Summary:
* VASP energy: -0.70494 Ry/atom
* calculated volume: 19.571 Å³/atom
* formation energy: 0.11 eV per atom

a = 4.8017 Å, b = 4.8017 Å, c = 4.8017 Å
α = 60.00°, β = 60.00°, γ = 60.00°
Positions (direct):
Hf (0.0000, 0.0000, 0.0000)
Np (0.2500, 0.2500, 0.2500)
Rh (0.7500, 0.7500, 0.7500)
Zr (0.5000, 0.5000, 0.5000)



VASP calculation (PBE-GGA) on a relaxed structure of Re2SiAu.

Summary:
* VASP energy: -0.60106 Ry/atom
* calculated volume: 15.066 Å³/atom
* E_form (uncorrected): 221 meV per atom

a = 8.8795 Å, b = 8.8795 Å, c = 8.8795 Å
α = 18.30°, β = 18.30°, γ = 18.30°
Positions (direct):
Re (0.5081, 0.5081, 0.5081)
Re (0.9919, 0.9919, 0.9919)
Au (0.7500, 0.7500, 0.7500)
Si (0.2500, 0.2500, 0.2500)



VASP calculation (PBE-GGA) on a relaxed structure of LiYMn2.

Summary:
* VASP energy: -0.46897 Ry/atom
* calculated volume: 18.069 Å³/atom
* formation energy: 0.30 eV per atom
* distance to the lowest polymorph of the same formula: 53.3 meV/atom

a = 4.7448 Å, b = 4.7448 Å, c = 4.7448 Å
α = 126.51°, β = 117.95°, γ = 86.35°
Positions (direct):
Mn (0.0275, 0.0275, 0.0000)
Mn (0.2072, 0.7072, 0.5000)
Li (0.7735, 0.2735, 0.5000)
Y (0.4918, 0.4918, 0.0000)